FePPdCl2 | GGA-PBE | relaxed

a b c (Å): 4.996 4.996 4.333
angles (deg): 90.00 90.00 90.00
Space group P4/mmm (No. 123)
Symmetry-distinct sites (fractional):
Fe (0.000, 0.000, 0.000) x1
P (0.000, 0.000, 0.500) x1
Pd (0.500, 0.500, 0.000) x1
Cl (0.000, 0.500, 0.500) x2

Properties
Crystal system: tetragonal
ΔE to the lowest computed polymorph, meV/atom: 195
M_tot, Bohr magnetons per cell: 3.060
Formation energy (no corrections), eV/atom: 0.604